The following is a PBE-GGA calculation of Sr12Al3H5 after structural relaxation, from Alexandria via LeMat-Bulk.

Computed properties:
**DOS(E_F)**: 135.77 states/eV/cell
**Total energy**: -2.595 eV/atom

abc: 17.282 17.282 17.282
angles: 90.00 90.00 90.00
Space group Ia-3d (No. 230)
One atom of each set of equivalent atoms:
Sr1 0.035 0.057 0.655 [96 per cell]
Al1 0.000 0.250 0.125 [24 per cell]
H1 0.000 0.000 0.000 [16 per cell]
H2 0.000 0.250 0.375 [24 per cell]

The following is a PBE-GGA calculation of KNpCoBr6 after structural relaxation, from Alexandria via LeMat-Bulk.

Computed properties:
**Formation energy (no corrections)**: -1.069 eV per atom
**DOS(E_F)**: 17.96 states/eV/cell

abc: 7.034 12.212 7.452
angles: 90.00 90.17 90.00
Space group C2 (No. 5)
One atom of each set of equivalent atoms:
K1 0.000 0.000 0.000 [2 per cell]
Np1 0.000 0.333 0.500 [2 per cell]
Co1 0.000 0.667 0.500 [2 per cell]
Br1 0.133 0.510 0.713 [4 per cell]
Br2 0.166 0.813 0.710 [4 per cell]
Br3 0.198 0.176 0.711 [4 per cell]

The following is a PBE-GGA calculation of TbHo3In2 after structural relaxation, from Alexandria via LeMat-Bulk.

Computed properties:
**Energy of formation**: 0.11 eV/atom
**DOS(E_F)**: 16.02 states/eV/cell
**Energy above the most stable polymorph in this dataset**: 469.5 meV/atom

abc: 3.391 5.611 18.693
angles: 90.00 90.00 90.00
Space group Immm (No. 71)
One atom of each set of equivalent atoms:
Tb1 0.000 0.000 0.000 [2 per cell]
Ho1 0.000 0.000 0.188 [4 per cell]
Ho2 0.000 0.500 0.000 [2 per cell]
In1 0.000 0.000 0.355 [4 per cell]

The following is a PBE-GGA calculation of BaNiAs2Ru after structural relaxation, from Alexandria via LeMat-Bulk.

Computed properties:
**Energy of formation**: -0.64 eV/atom
**DOS(E_F)**: 8.26 states/eV/cell

abc: 4.017 4.017 13.071
angles: 90.00 90.00 90.00
Space group I-4m2 (No. 119)
One atom of each set of equivalent atoms:
Ba1 0.000 0.000 0.000 [2 per cell]
Ni1 0.000 0.500 0.250 [2 per cell]
As1 0.000 0.000 0.353 [4 per cell]
Ru1 0.000 0.500 0.750 [2 per cell]

The following is a PBE-GGA calculation of CeDyAl2 after structural relaxation, from Alexandria via LeMat-Bulk.

Computed properties:
**Energy of formation**: -0.36 eV/atom
**DOS(E_F)**: 10.68 states/eV/cell

abc: 4.131 4.511 10.596
angles: 90.00 101.18 90.00
Space group P2_1/m (No. 11)
One atom of each set of equivalent atoms:
Ce1 0.045 0.250 0.090 [2 per cell]
Dy1 0.311 0.750 0.618 [2 per cell]
Al1 0.157 0.750 0.316 [2 per cell]
Al2 0.423 0.250 0.844 [2 per cell]

The following is a PBE-GGA calculation of Tb4TeIr2 after structural relaxation, from Alexandria via LeMat-Bulk.

Computed properties:
**Formation energy (no corrections)**: -0.875 eV per atom
**DOS(E_F)**: 8.82 states/eV/cell
**Energy above the most stable polymorph in this dataset**: 0.0 meV/atom

abc: 4.4447 4.4447 33.2217
angles: 90.00 90.00 120.00
Space group R-3m (No. 166, hexagonal axes)
One atom of each set of equivalent atoms:
Tb1 0.0000 0.0000 0.1079 [6 per cell]
Tb2 0.0000 0.0000 0.3007 [6 per cell]
Te1 0.0000 0.0000 0.5000 [3 per cell]
Ir1 0.0000 0.0000 0.3990 [6 per cell]

The following is a PBE-GGA calculation of MoPRh2 after structural relaxation, from Alexandria via LeMat-Bulk.

Computed properties:
**Energy of formation**: 0.13 eV/atom
**DOS(E_F)**: 5.19 states/eV/cell

abc: 4.579 4.579 2.775
angles: 90.00 90.00 90.00
Space group P4/mmm (No. 123)
One atom of each set of equivalent atoms:
Mo1 0.000 0.000 0.000 [1 per cell]
P1 0.500 0.500 0.000 [1 per cell]
Rh1 0.000 0.500 0.500 [2 per cell]

The following is a PBE-GGA calculation of ScOsCl2 after structural relaxation, from Alexandria via LeMat-Bulk.

Computed properties:
**Formation energy (no corrections)**: 0.412 eV per atom
**DOS(E_F)**: 14.59 states/eV/cell
**Energy above the most stable polymorph in this dataset**: 958.5 meV/atom

abc: 6.702 6.702 6.702
angles: 90.00 90.00 90.00
Space group F-43m (No. 216)
One atom of each set of equivalent atoms:
Sc1 0.000 0.000 0.000 [4 per cell]
Os1 0.250 0.250 0.250 [4 per cell]
Cl1 0.000 0.000 0.500 [4 per cell]
Cl2 0.250 0.250 0.750 [4 per cell]

The following is a PBE-GGA calculation of TiNb4Zn after structural relaxation, from Alexandria via LeMat-Bulk.

Computed properties:
**Energy of formation**: 0.00 eV/atom
**DOS(E_F)**: 8.10 states/eV/cell

abc: 3.399 3.399 9.090
angles: 90.00 90.00 90.00
Space group P4/mmm (No. 123)
One atom of each set of equivalent atoms:
Ti1 0.000 0.000 0.000 [1 per cell]
Nb1 0.000 0.000 0.337 [2 per cell]
Nb2 0.500 0.500 0.175 [2 per cell]
Zn1 0.500 0.500 0.500 [1 per cell]

The following is a PBE-GGA calculation of Sm6SnOs after structural relaxation, from Alexandria via LeMat-Bulk.

Computed properties:
**Energy of formation**: -0.08 eV/atom
**DOS(E_F)**: 16.09 states/eV/cell

abc: 8.038 10.262 6.585
angles: 90.00 104.41 90.00
Space group C2/m (No. 12)
One atom of each set of equivalent atoms:
Sm1 0.121 0.187 0.288 [8 per cell]
Sm2 0.211 0.500 0.137 [4 per cell]
Sn1 0.000 0.500 0.500 [2 per cell]
Os1 0.000 0.000 0.000 [2 per cell]

The following is a PBE-GGA calculation of NdVNi3 after structural relaxation, from Alexandria via LeMat-Bulk.

Computed properties:
**Energy of formation**: -0.08 eV/atom
**DOS(E_F)**: 10.75 states/eV/cell

abc: 5.8728 5.8728 5.4296
angles: 90.00 90.00 120.00
Space group P6_3/mmc (No. 194)
One atom of each set of equivalent atoms:
Nd1 0.3333 0.6667 0.2500 [2 per cell]
V1 0.0000 0.0000 0.0000 [2 per cell]
Ni1 0.1943 0.3885 0.7500 [6 per cell]

The following is a PBE-GGA calculation of TbPr7Y2 after structural relaxation, from Alexandria via LeMat-Bulk.

Computed properties:
**Energy of formation**: 0.63 eV/atom
**DOS(E_F)**: 32.48 states/eV/cell
**Energy above the most stable polymorph in this dataset**: 259.8 meV/atom

abc: 8.745 17.446 5.568
angles: 90.00 90.00 90.00
Space group Cmmm (No. 65)
One atom of each set of equivalent atoms:
Tb1 0.000 0.000 0.000 [2 per cell]
Pr1 0.000 0.204 0.000 [4 per cell]
Pr2 0.000 0.500 0.500 [2 per cell]
Pr3 0.180 0.109 0.500 [8 per cell]
Y1 0.000 0.292 0.500 [4 per cell]